1.
Below is a geometry-optimized KCa2Pt structure, with properties calculated at the PBE-GGA level.

Summary:
The symmetry is No. 225. The value obtained for the calculated total energy is -2.962 eV/atom. The value obtained for the formation energy is -0.177 eV per atom.

a = 5.393 Å, b = 5.393 Å, c = 5.393 Å
α = 60.00°, β = 60.00°, γ = 60.00°
Sites, in units of the cell vectors:
Pt 0.500 0.500 0.500
K 0.000 0.000 0.000
Ca 0.750 0.750 0.750
Ca 0.250 0.250 0.250

2.
Below is a geometry-optimized KCaPt2 structure, with properties calculated at the PBE-GGA level.

Summary:
The symmetry is No. 65. The value obtained for the calculated total energy is -4.007 eV/atom. The value obtained for the formation energy is -0.212 eV per atom.

a = 7.023 Å, b = 4.896 Å, c = 3.897 Å
α = 90.06°, β = 56.19°, γ = 119.73°
Sites, in units of the cell vectors:
Pt 0.000 0.000 0.000
K 0.500 0.500 0.000
Pt 0.500 0.000 0.500
Ca 0.000 0.500 0.500

3.
Below is a geometry-optimized KCaPt2 structure, with properties calculated at the PBE-GGA level.

Summary:
The symmetry is No. 99. The value obtained for the calculated total energy is -3.977 eV/atom. The value obtained for the formation energy is -0.182 eV per atom.

a = 3.645 Å, b = 3.645 Å, c = 8.865 Å
α = 90.00°, β = 90.00°, γ = 90.00°
Sites, in units of the cell vectors:
Pt 0.000 0.000 0.102
Pt 0.500 0.500 0.178
Ca 0.000 0.000 0.398
K 0.500 0.500 0.822

4.
Below is a geometry-optimized KCa2Pt structure, with properties calculated at the PBE-GGA level.

Summary:
The symmetry is No. 71. The value obtained for the calculated total energy is -3.082 eV/atom. The value obtained for the formation energy is -0.296 eV per atom.

a = 7.038 Å, b = 7.038 Å, c = 7.038 Å
α = 148.03°, β = 127.18°, γ = 63.08°
Sites, in units of the cell vectors:
K 0.750 0.250 0.500
Ca 0.079 0.079 0.000
Pt 0.250 0.750 0.500
Ca 0.421 0.421 0.000

5.
Below is a geometry-optimized KCa3Pt structure, with properties calculated at the PBE-GGA level.

Summary:
The symmetry is No. 221. The value obtained for the calculated total energy is -1.399 eV/atom. The value obtained for the formation energy is 1.229 eV per atom.

a = 5.481 Å, b = 5.481 Å, c = 5.481 Å
α = 90.00°, β = 90.00°, γ = 90.00°
Site moments in Bohr magnetons follow the coordinates.
Sites, in units of the cell vectors:
Ca 0.500 0.000 0.000  0.10
Ca 0.000 0.000 0.500  0.26
Ca 0.000 0.500 0.000  0.20
Pt 0.500 0.500 0.500  -0.02
K 0.000 0.000 0.000  0.22

6.
Below is a geometry-optimized KCa2Pt structure, with properties calculated at the PBE-GGA level.

Summary:
The symmetry is No. 123. The value obtained for the calculated total energy is -2.838 eV/atom. The value obtained for the formation energy is -0.053 eV per atom.

a = 5.100 Å, b = 5.100 Å, c = 4.493 Å
α = 90.00°, β = 90.00°, γ = 90.00°
Sites, in units of the cell vectors:
Ca 0.500 0.500 0.000
Pt 0.000 0.500 0.500
Ca 0.000 0.000 0.000
K 0.500 0.000 0.500

7.
Below is a geometry-optimized KCaPt3 structure, with properties calculated at the PBE-GGA level.

Summary:
The symmetry is No. 221. The value obtained for the calculated total energy is -3.051 eV/atom. The value obtained for the formation energy is 1.193 eV per atom.

a = 5.082 Å, b = 5.082 Å, c = 5.082 Å
α = 90.00°, β = 90.00°, γ = 90.00°
Sites, in units of the cell vectors:
Ca 0.500 0.500 0.500
Pt 0.000 0.500 0.000
Pt 0.000 0.000 0.500
Pt 0.500 0.000 0.000
K 0.000 0.000 0.000

8.
Below is a geometry-optimized KCa2Pt structure, with properties calculated at the PBE-GGA level.

Summary:
The symmetry is No. 8. The value obtained for the calculated total energy is -3.082 eV/atom. The value obtained for the formation energy is -0.296 eV per atom.

a = 6.686 Å, b = 6.686 Å, c = 6.973 Å
α = 59.30°, β = 59.30°, γ = 34.94°
Sites, in units of the cell vectors:
Ca 0.918 0.918 0.120
K 0.561 0.561 0.493
Pt 0.280 0.280 0.061
Ca 0.741 0.741 0.826

9.
Below is a geometry-optimized KCaPt2 structure, with properties calculated at the PBE-GGA level.

Summary:
The symmetry is No. 47. The value obtained for the calculated total energy is -4.136 eV/atom. The value obtained for the formation energy is -0.341 eV per atom.

a = 2.953 Å, b = 3.833 Å, c = 8.180 Å
α = 90.00°, β = 90.00°, γ = 90.00°
Sites, in units of the cell vectors:
Pt 0.000 0.000 0.461
K 0.500 0.500 0.750
Ca 0.500 0.500 0.250
Pt 0.000 0.000 0.039

10.
Below is a geometry-optimized KCa2Pt structure, with properties calculated at the PBE-GGA level.

Summary:
The symmetry is No. 6. The value obtained for the calculated total energy is -3.130 eV/atom. The value obtained for the formation energy is -0.344 eV per atom.

a = 3.924 Å, b = 4.268 Å, c = 9.307 Å
α = 76.75°, β = 90.00°, γ = 90.00°
Sites, in units of the cell vectors:
K 0.000 0.662 0.548
Ca 0.000 0.985 0.905
Pt 0.500 0.503 0.870
Ca 0.500 0.350 0.177

11.
Below is a geometry-optimized KCaPt2 structure, with properties calculated at the PBE-GGA level.

Summary:
The symmetry is No. 216. The value obtained for the calculated total energy is -3.936 eV/atom. The value obtained for the formation energy is -0.140 eV per atom.

a = 4.947 Å, b = 4.947 Å, c = 4.947 Å
α = 60.00°, β = 60.00°, γ = 60.00°
Sites, in units of the cell vectors:
Ca 0.500 0.500 0.500
Pt 0.000 0.000 0.000
K 0.750 0.750 0.750
Pt 0.250 0.250 0.250

12.
Below is a geometry-optimized KCaPt2 structure, with properties calculated at the PBE-GGA level.

Summary:
The symmetry is No. 12. The value obtained for the calculated total energy is -3.998 eV/atom. The value obtained for the formation energy is -0.203 eV per atom.

a = 4.809 Å, b = 4.809 Å, c = 7.565 Å
α = 84.19°, β = 84.19°, γ = 35.92°
Sites, in units of the cell vectors:
K 0.250 0.250 0.250
Pt 0.493 0.493 0.580
Ca 0.750 0.750 0.750
Pt 0.007 0.007 0.920

13.
Below is a geometry-optimized K2CaPt2 structure, with properties calculated at the PBE-GGA level.

Summary:
The symmetry is No. 127. The value obtained for the calculated total energy is -3.419 eV/atom. The value obtained for the formation energy is -0.163 eV per atom.

a = 7.410 Å, b = 7.410 Å, c = 5.340 Å
α = 90.00°, β = 90.00°, γ = 90.00°
Sites, in units of the cell vectors:
K 0.338 0.162 0.500
Pt 0.375 0.875 0.000
Pt 0.875 0.625 0.000
Pt 0.125 0.375 0.000
Ca 0.000 0.000 0.000
K 0.838 0.338 0.500
K 0.162 0.662 0.500
Ca 0.500 0.500 0.000
Pt 0.625 0.125 0.000
K 0.662 0.838 0.500

14.
Below is a geometry-optimized KCaPt2 structure, with properties calculated at the PBE-GGA level.

Summary:
The symmetry is No. 123. The value obtained for the calculated total energy is -4.078 eV/atom. The value obtained for the formation energy is -0.283 eV per atom.

a = 3.762 Å, b = 3.762 Å, c = 6.980 Å
α = 90.00°, β = 90.00°, γ = 90.00°
Sites, in units of the cell vectors:
K 0.500 0.500 0.750
Pt 0.000 0.000 0.444
Ca 0.500 0.500 0.250
Pt 0.000 0.000 0.056

15.
Below is a geometry-optimized KCaPt2 structure, with properties calculated at the PBE-GGA level.

Summary:
The symmetry is No. 166. The value obtained for the calculated total energy is -3.849 eV/atom. The value obtained for the formation energy is -0.054 eV per atom.

a = 9.917 Å, b = 9.917 Å, c = 9.917 Å
α = 18.80°, β = 18.80°, γ = 18.80°
Sites, in units of the cell vectors:
Pt 0.992 0.992 0.992
K 0.750 0.750 0.750
Ca 0.250 0.250 0.250
Pt 0.508 0.508 0.508

16.
Below is a geometry-optimized KCa2Pt9 structure, with properties calculated at the PBE-GGA level.

Summary:
The symmetry is No. 166. The value obtained for the calculated total energy is -5.511 eV/atom. The value obtained for the formation energy is -0.555 eV per atom.

a = 5.482 Å, b = 5.482 Å, c = 9.324 Å
α = 72.90°, β = 72.90°, γ = 60.00°
Sites, in units of the cell vectors:
Pt 0.668 0.668 0.996
Pt 0.081 0.586 0.747
Pt 0.586 0.586 0.747
Pt 0.414 0.414 0.253
Pt 0.919 0.414 0.253
Ca 0.861 0.861 0.418
Pt 0.414 0.919 0.253
Pt 0.500 0.500 0.500
Pt 0.586 0.081 0.747
Ca 0.139 0.139 0.582
K 0.000 0.000 0.000
Pt 0.332 0.332 0.004

17.
Below is a geometry-optimized KCa2Pt structure, with properties calculated at the PBE-GGA level.

Summary:
The symmetry is No. 44. The value obtained for the calculated total energy is -3.136 eV/atom. The value obtained for the formation energy is -0.351 eV per atom.

a = 9.595 Å, b = 9.595 Å, c = 9.595 Å
α = 157.77°, β = 152.91°, γ = 35.31°
Sites, in units of the cell vectors:
Pt 0.225 0.725 0.500
Ca 0.752 0.252 0.500
K 0.420 0.420 0.000
Ca 0.103 0.103 0.000

18.
Below is a geometry-optimized KCaPt2 structure, with properties calculated at the PBE-GGA level.

Summary:
The symmetry is No. 6. The value obtained for the calculated total energy is -3.989 eV/atom. The value obtained for the formation energy is -0.193 eV per atom.

a = 5.267 Å, b = 3.013 Å, c = 5.605 Å
α = 89.91°, β = 90.00°, γ = 90.00°
Sites, in units of the cell vectors:
Pt 0.500 0.125 0.310
Pt 0.000 0.125 0.959
K 0.500 0.626 0.819
Ca 0.000 0.624 0.411

19.
Below is a geometry-optimized KCa2Pt structure, with properties calculated at the PBE-GGA level.

Summary:
The symmetry is No. 122. The value obtained for the calculated total energy is -3.027 eV/atom. The value obtained for the formation energy is -0.241 eV per atom.

a = 9.455 Å, b = 9.455 Å, c = 7.529 Å
α = 51.11°, β = 51.11°, γ = 90.00°
Sites, in units of the cell vectors:
K 0.500 0.500 0.000
K 0.250 0.750 0.500
Ca 0.375 0.258 0.750
Ca 0.742 0.125 0.250
Pt 0.000 0.000 0.000
Ca 0.875 0.992 0.750
Ca 0.008 0.625 0.250
Pt 0.750 0.250 0.500

20.
Below is a geometry-optimized KCaPt3 structure, with properties calculated at the PBE-GGA level.

Summary:
The symmetry is No. 221. The value obtained for the calculated total energy is -3.541 eV/atom. The value obtained for the formation energy is 0.703 eV per atom.

a = 5.187 Å, b = 5.187 Å, c = 5.187 Å
α = 90.00°, β = 90.00°, γ = 90.00°
Sites, in units of the cell vectors:
K 0.500 0.500 0.500
Pt 0.000 0.000 0.500
Ca 0.000 0.000 0.000
Pt 0.000 0.500 0.000
Pt 0.500 0.000 0.000